(1)
Computed, not measured: Ca3Al2Cd7 after structural relaxation at the GGA-PBE level of DFT.

abc: 6.009 6.009 9.948
angles: 72.42 72.42 60.00
Positions (direct):
Ca  0.000  0.000  0.000
Ca  0.857  0.857  0.428
Ca  0.143  0.143  0.572
Al  0.666  0.666  0.003
Al  0.334  0.334  0.997
Cd  0.500  0.500  0.500
Cd  0.925  0.416  0.244
Cd  0.416  0.925  0.244
Cd  0.416  0.416  0.244
Cd  0.075  0.584  0.756
Cd  0.584  0.584  0.756
Cd  0.584  0.075  0.756

## Properties
Calculated total energy, eV/atom: -1.873
ΔH_f (0 K), meV per atom: -215
SG: R-3m, No. 166
D(E_F), states/eV/f.u.: 5.20
V, Å³/cell: 292

---

(2)
Computed, not measured: InCuSn after structural relaxation at the GGA-PBE level of DFT.

abc: 6.291 3.375 6.787
angles: 70.34 91.62 85.35
Positions (direct):
Sn  0.104  0.399  0.623
Sn  0.610  0.683  0.592
Cu  0.391  0.413  0.313
Cu  0.323  0.670  0.902
In  0.634  0.016  0.069
In  0.080  0.066  0.146

## Properties
Calculated total energy, eV/atom: -3.557
ΔH_f (0 K), meV per atom: 55
SG: P-1, No. 2
D(E_F), states/eV/f.u.: 1.00
V, Å³/cell: 135

---

(3)
Computed, not measured: ScZn2AuBr after structural relaxation at the GGA-PBE level of DFT.

abc: 4.948 4.960 4.948
angles: 90.00 90.00 90.00
Positions (direct):
Sc  0.000  0.500  0.000
Zn  0.000  0.000  0.500
Zn  0.500  0.000  0.000
Au  0.500  0.500  0.500
Br  0.000  0.000  0.000

## Properties
Calculated total energy, eV/atom: -2.270
Formation energy from raw total energies, eV per atom: 0.495
SG: P4/mmm, No. 123
D(E_F), states/eV/f.u.: 4.54
V, Å³/cell: 121

---

(4)
Computed, not measured: CuRuBr6 after structural relaxation at the GGA-PBE level of DFT.

abc: 7.310 7.483 6.895
angles: 106.39 105.27 119.44
Each line ends with the local moment (μB).
Positions (direct):
Cu  0.000  0.000  0.000  0.43
Ru  0.500  0.000  0.000  1.29
Br  0.907  0.146  0.291  0.10
Br  0.616  0.855  0.709  0.10
Br  0.384  0.145  0.291  0.10
Br  0.093  0.854  0.709  0.10
Br  0.313  0.628  0.000  0.22
Br  0.687  0.372  0.000  0.22

## Properties
Calculated total energy, eV/atom: -3.153
Formation energy from raw total energies, eV per atom: -0.227
SG: C2/m, No. 12
D(E_F), states/eV/f.u.: 2.24
V, Å³/cell: 276

---

(5)
Computed, not measured: Li2AgAsBr6 after structural relaxation at the GGA-PBE level of DFT.

abc: 6.910 6.910 7.501
angles: 62.57 62.57 59.99
Positions (direct):
Li  0.517  0.517  0.448
Li  0.002  0.002  0.995
Ag  0.817  0.817  0.550
As  0.329  0.329  0.013
Br  0.589  0.235  0.246
Br  0.235  0.930  0.246
Br  0.930  0.589  0.246
Br  0.397  0.728  0.757
Br  0.728  0.118  0.757
Br  0.118  0.397  0.757

## Properties
Calculated total energy, eV/atom: -2.953
Formation energy from raw total energies, eV per atom: -0.816
SG: R3, No. 146
D(E_F), states/eV/f.u.: 0.00
V, Å³/cell: 263

---

(6)
Computed, not measured: MnSi2Tc after structural relaxation at the GGA-PBE level of DFT.

abc: 7.979 7.979 7.979
angles: 19.92 19.92 19.92
Each line ends with the local moment (μB).
Positions (direct):
Mn  0.750  0.750  0.750  1.82
Si  0.003  0.003  0.003  -0.03
Si  0.497  0.497  0.497  -0.03
Tc  0.250  0.250  0.250  0.04

## Properties
Calculated total energy, eV/atom: -7.784
Formation energy from raw total energies, eV per atom: -0.188
SG: R-3m, No. 166
D(E_F), states/eV/f.u.: 2.24
V, Å³/cell: 52
Energy above the most stable polymorph in this dataset, eV per atom: 0.176

---

(7)
Computed, not measured: BPd8Au2 after structural relaxation at the GGA-PBE level of DFT.

abc: 4.757 5.569 7.360
angles: 112.24 108.92 89.92
Positions (direct):
B  0.150  0.030  0.000
Au  0.293  0.339  0.617
Au  0.677  0.722  0.383
Pd  0.870  0.167  0.775
Pd  0.095  0.392  0.225
Pd  0.295  0.840  0.619
Pd  0.487  0.779  0.000
Pd  0.676  0.221  0.381
Pd  0.870  0.668  0.775
Pd  0.095  0.893  0.225
Pd  0.487  0.282  0.000

## Properties
Calculated total energy, eV/atom: -5.081
ΔH_f (0 K), meV per atom: -102
SG: Cm, No. 8
D(E_F), states/eV/f.u.: 10.53
V, Å³/cell: 169
Energy above the most stable polymorph in this dataset, eV per atom: 0.000

---

(8)
Computed, not measured: SrMnCdRu2 after structural relaxation at the GGA-PBE level of DFT.

abc: 4.534 5.041 4.534
angles: 90.00 90.00 90.00
Each line ends with the local moment (μB).
Positions (direct):
Ru  0.000  0.000  0.500  0.10
Ru  0.500  0.000  0.000  0.06
Mn  0.000  0.000  0.000  0.65
Sr  0.500  0.500  0.500  0.00
Cd  0.000  0.500  0.000  0.00

## Properties
Calculated total energy, eV/atom: -5.463
ΔH_f (0 K), meV per atom: 600
SG: P4/mmm, No. 123
D(E_F), states/eV/f.u.: 5.20
V, Å³/cell: 104

---

(9)
Computed, not measured: AgH4Rh after structural relaxation at the GGA-PBE level of DFT.

abc: 4.840 5.803 5.928
angles: 103.26 95.54 129.56
Positions (direct):
Ag  0.455  0.705  0.410
Ag  0.545  0.295  0.590
H  0.080  0.677  0.898
H  0.317  0.221  0.898
H  0.627  0.470  0.337
H  0.373  0.530  0.663
H  0.790  0.132  0.663
H  0.683  0.779  0.102
H  0.210  0.868  0.337
H  0.920  0.323  0.102
Rh  0.808  0.558  0.117
Rh  0.192  0.442  0.883

## Properties
Calculated total energy, eV/atom: -3.814
SG: C2/c, No. 15
D(E_F), states/eV/f.u.: 0.48
V, Å³/cell: 118

---

(10)
Computed, not measured: BeHgSe after structural relaxation at the GGA-PBE level of DFT.

abc: 3.627 6.097 6.798
angles: 90.16 91.65 90.00
Positions (direct):
Be  0.963  0.296  0.889
Be  0.460  0.796  0.831
Hg  0.428  0.674  0.445
Hg  0.992  0.177  0.274
Se  0.965  0.648  0.940
Se  0.457  0.147  0.780

## Properties
Calculated total energy, eV/atom: -2.897
Formation energy from raw total energies, eV per atom: -0.392
SG: P1, No. 1
D(E_F), states/eV/f.u.: 0.00
V, Å³/cell: 150
Energy above the most stable polymorph in this dataset, eV per atom: 0.016

---

(11)
Computed, not measured: LaNd2Mg2 after structural relaxation at the GGA-PBE level of DFT.

abc: 3.900 5.632 14.445
angles: 90.00 97.80 90.00
Positions (direct):
La  0.850  0.750  0.703
La  0.150  0.250  0.297
Nd  0.046  0.750  0.092
Nd  0.954  0.250  0.908
Nd  0.236  0.750  0.474
Nd  0.764  0.250  0.526
Mg  0.641  0.750  0.281
Mg  0.359  0.250  0.719
Mg  0.450  0.750  0.899
Mg  0.550  0.250  0.101

## Properties
Calculated total energy, eV/atom: -3.612
ΔH_f (0 K), meV per atom: -82
SG: P2_1/m, No. 11
D(E_F), states/eV/f.u.: 5.73
V, Å³/cell: 314
Energy above the most stable polymorph in this dataset, eV per atom: 0.000

---

(12)
Computed, not measured: Tb2Ho3Th2 after structural relaxation at the GGA-PBE level of DFT.

abc: 3.569 9.433 7.908
angles: 64.89 103.03 79.11
Positions (direct):
Tb  0.576  0.141  0.292
Tb  0.424  0.859  0.708
Ho  0.000  0.000  0.000
Ho  0.294  0.567  0.156
Ho  0.706  0.433  0.844
Th  0.142  0.287  0.573
Th  0.858  0.713  0.427

## Properties
Calculated total energy, eV/atom: -5.379
ΔH_f (0 K), meV per atom: 26
SG: P-1, No. 2
D(E_F), states/eV/f.u.: 9.15
V, Å³/cell: 222
Energy above the most stable polymorph in this dataset, eV per atom: 0.000

---

(13)
Computed, not measured: LaS2O6 after structural relaxation at the GGA-PBE level of DFT.

abc: 5.676 5.676 7.399
angles: 67.44 67.44 60.00
Each line ends with the local moment (μB).
Positions (direct):
La  0.333  0.333  0.000  0.06
S  0.731  0.731  0.807  0.20
S  0.602  0.602  0.194  0.20
O  0.606  0.604  0.741  0.06
O  0.048  0.606  0.741  0.06
O  0.604  0.048  0.741  0.06
O  0.432  0.433  0.259  0.06
O  0.876  0.432  0.259  0.06
O  0.433  0.876  0.259  0.06

## Properties
Calculated total energy, eV/atom: -6.418
Formation energy from raw total energies, eV per atom: -1.648
SG: R3, No. 146
D(E_F), states/eV/f.u.: 2.21
V, Å³/cell: 185
Energy above the most stable polymorph in this dataset, eV per atom: 0.150

---

(14)
Computed, not measured: KZrHgTe2 after structural relaxation at the GGA-PBE level of DFT.

abc: 5.676 5.676 5.712
angles: 90.00 90.00 90.00
Positions (direct):
K  0.500  0.500  0.500
Te  0.000  0.500  0.000
Te  0.500  0.000  0.000
Hg  0.000  0.000  0.500
Zr  0.000  0.000  0.000

## Properties
Calculated total energy, eV/atom: -3.837
Formation energy from raw total energies, eV per atom: -0.591
SG: P4/mmm, No. 123
D(E_F), states/eV/f.u.: 2.63
V, Å³/cell: 184

---

(15)
Computed, not measured: ErLuZnAg after structural relaxation at the GGA-PBE level of DFT.

abc: 5.024 5.024 5.024
angles: 60.00 60.00 60.00
Positions (direct):
Zn  0.750  0.750  0.750
Lu  0.500  0.500  0.500
Ag  0.250  0.250  0.250
Er  0.000  0.000  0.000

## Properties
Calculated total energy, eV/atom: -3.638
ΔH_f (0 K), meV per atom: -336
SG: F-43m, No. 216
D(E_F), states/eV/f.u.: 3.80
V, Å³/cell: 90

---

(16)
Computed, not measured: LiPm2NdS5 after structural relaxation at the GGA-PBE level of DFT.

abc: 4.008 8.560 12.001
angles: 90.00 90.00 103.54
Positions (direct):
Li  0.512  0.024  0.984
Li  0.488  0.976  0.484
Pm  0.879  0.758  0.796
Pm  0.109  0.218  0.684
Pm  0.121  0.242  0.296
Pm  0.891  0.782  0.184
Nd  0.804  0.607  0.499
Nd  0.196  0.393  0.999
S  0.365  0.730  0.000
S  0.691  0.383  0.835
S  0.502  0.004  0.786
S  0.290  0.580  0.665
S  0.957  0.914  0.574
S  0.635  0.270  0.500
S  0.309  0.617  0.335
S  0.498  0.996  0.286
S  0.710  0.420  0.165
S  0.043  0.086  0.074

## Properties
Calculated total energy, eV/atom: -5.968
Formation energy from raw total energies, eV per atom: -1.877
SG: Cmc2_1, No. 36
V, Å³/cell: 400

---

(17)
Computed, not measured: Ca2TeRuC after structural relaxation at the GGA-PBE level of DFT.

abc: 5.145 5.145 3.969
angles: 90.00 90.00 90.00
Each line ends with the local moment (μB).
Positions (direct):
Ru  0.000  0.000  0.500  0.25
Ca  0.000  0.500  0.000  0.00
Ca  0.500  0.000  0.000  0.00
Te  0.500  0.500  0.500  0.03
C  0.000  0.000  0.000  0.00

## Properties
Calculated total energy, eV/atom: -5.509
Formation energy from raw total energies, eV per atom: -0.380
SG: P4/mmm, No. 123
D(E_F), states/eV/f.u.: 3.44
V, Å³/cell: 105

---

(18)
Computed, not measured: Li3GaF6 after structural relaxation at the GGA-PBE level of DFT.

abc: 5.095 5.172 7.713
angles: 90.00 89.78 90.00
Positions (direct):
Li  0.499  0.965  0.768
Li  0.500  0.500  0.000
Li  0.501  0.035  0.232
Li  0.999  0.535  0.268
Li  0.000  0.000  0.500
Li  0.001  0.465  0.732
Ga  0.500  0.500  0.500
Ga  0.000  0.000  0.000
F  0.679  0.177  0.948
F  0.662  0.192  0.589
F  0.632  0.407  0.272
F  0.368  0.593  0.728
F  0.338  0.808  0.411
F  0.321  0.823  0.052
F  0.179  0.323  0.448
F  0.162  0.308  0.089
F  0.132  0.093  0.772
F  0.868  0.907  0.228
F  0.838  0.692  0.911
F  0.821  0.677  0.552

## Properties
Calculated total energy, eV/atom: -4.834
Formation energy from raw total energies, eV per atom: -2.835
SG: P2_1/c, No. 14
D(E_F), states/eV/f.u.: 0.00
V, Å³/cell: 203
Energy above the most stable polymorph in this dataset, eV per atom: 0.027

---

(19)
Computed, not measured: CaMnCr2 after structural relaxation at the GGA-PBE level of DFT.

abc: 3.488 2.904 6.903
angles: 72.06 90.00 90.00
Positions (direct):
Cr  0.000  0.965  0.100
Cr  0.000  0.535  0.400
Ca  0.500  0.750  0.750
Mn  0.500  0.250  0.250

## Properties
Calculated total energy, eV/atom: -7.016
ΔH_f (0 K), meV per atom: 588
SG: P2/m, No. 10
D(E_F), states/eV/f.u.: 4.26
V, Å³/cell: 67
Energy above the most stable polymorph in this dataset, eV per atom: 0.148

---

(20)
Computed, not measured: Ac4PdRu after structural relaxation at the GGA-PBE level of DFT.

abc: 4.409 7.118 7.679
angles: 100.68 90.00 108.04
Positions (direct):
Ac  0.120  0.240  0.861
Ac  0.880  0.760  0.139
Ac  0.619  0.238  0.385
Ac  0.381  0.762  0.615
Pd  0.500  0.000  0.000
Ru  0.000  0.000  0.500

## Properties
Calculated total energy, eV/atom: -5.517
ΔH_f (0 K), meV per atom: -367
SG: C2/m, No. 12
D(E_F), states/eV/f.u.: 6.27
V, Å³/cell: 225
Energy above the most stable polymorph in this dataset, eV per atom: 0.000